A plane-wave DFT calculation with PBE was carried out for a relaxed ZnAs crystal.

space group	P4/m (83)
density of states at the Fermi level	0.71	states/eV/f.u.
energy of formation from the pure elements	147.1	meV/atom
calculated total energy	-2.81	eV/atom
V	31.19	A^3/atom

Geometry as extended XYZ:
```
16
Lattice="10.9376 0.0000 0.0000 0.0000 10.9376 0.0000 0.0000 0.0000 4.1719" Properties=species:S:1:pos:R:3 pbc="T T T"
Zn 0.8891 6.5761 0.0000
Zn 2.8104 4.1109 2.0859
Zn 4.1109 8.1272 2.0859
Zn 4.3615 0.8891 0.0000
Zn 6.5761 10.0485 0.0000
Zn 6.8267 2.8104 2.0859
Zn 8.1272 6.8267 2.0859
Zn 10.0485 4.3615 0.0000
As 1.5302 3.9670 0.0000
As 2.2076 6.6004 2.0859
As 3.9670 9.4074 0.0000
As 4.3372 2.2076 2.0859
As 6.6004 8.7300 2.0859
As 6.9706 1.5302 0.0000
As 8.7300 4.3372 2.0859
As 9.4074 6.9706 0.0000
```